*1*
The following is a meta-GGA SCAN calculation of a PBEsol-optimized structure of HgTeSe2, from Alexandria.

Cell lengths 4.170, 4.170, 5.656 Å; angles 90.00, 90.00, 90.00 degrees
Space group P4/mmm (No. 123)
One atom of each set of equivalent atoms:
Hg1 0.000 0.000 0.000 [1 per cell]
Te1 0.500 0.500 0.500 [1 per cell]
Se1 0.000 0.000 0.500 [1 per cell]
Se2 0.500 0.500 0.000 [1 per cell]

Computed properties:
total magnetic moment = 0.00 μB per cell
volume = 98 Å³ per cell
DOS(E_F) = 2.19 states/eV per cell



*2*
The following is a meta-GGA SCAN calculation of a PBEsol-optimized structure of HgTeSe2, from Alexandria.

Cell lengths 2.985, 4.154, 8.073 Å; angles 90.00, 91.29, 90.00 degrees
Space group P2/m (No. 10)
One atom of each set of equivalent atoms:
Hg1 0.000 0.000 0.000 [1 per cell]
Te1 0.000 0.000 0.500 [1 per cell]
Se1 0.004 0.500 0.753 [2 per cell]

Computed properties:
total magnetic moment = 0.00 μB per cell
volume = 100 Å³ per cell
DOS(E_F) = 2.09 states/eV per cell



*3*
The following is a meta-GGA SCAN calculation of a PBEsol-optimized structure of HgTeSe2, from Alexandria.

Cell lengths 3.540, 3.540, 7.125 Å; angles 90.00, 90.00, 90.00 degrees
Space group P4/mmm (No. 123)
One atom of each set of equivalent atoms:
Hg1 0.000 0.000 0.000 [1 per cell]
Te1 0.000 0.000 0.500 [1 per cell]
Se1 0.500 0.500 0.260 [2 per cell]

Computed properties:
total magnetic moment = 0.00 μB per cell
volume = 89 Å³ per cell
DOS(E_F) = 1.42 states/eV per cell



*4*
The following is a meta-GGA SCAN calculation of a PBEsol-optimized structure of HgTeSe2, from Alexandria.

Cell lengths 5.470, 5.470, 15.877 Å; angles 90.00, 90.00, 90.00 degrees
Space group I-42d (No. 122)
One atom of each set of equivalent atoms:
Hg1 0.000 0.000 0.000 [4 per cell]
Te1 0.000 0.000 0.500 [4 per cell]
Se1 0.246 0.250 0.625 [8 per cell]

Computed properties:
total magnetic moment = 0.00 μB per cell
volume = 475 Å³ per cell
DOS(E_F) = 5.53 states/eV per cell



Which is the most stable structure? *1* is the most stable.